Compound: SmPaFe
Source: Alexandria via LeMat-Bulk
Functional: PBE-GGA
Structure: relaxed

Values from the calculation:
Crystal system: tetragonal
Energy relative to the lowest polymorph listed for this composition, meV/atom: 45

a = 3.4025 Å, b = 3.4025 Å, c = 11.3171 Å
α = 90.00°, β = 90.00°, γ = 90.00°
With the nearest neighbours (Å) after each atom.
Space group I4mm (No. 107)
One atom of each set of equivalent atoms:
Sm 0.0000 0.0000 0.0000 (multiplicity 2)  5 Pa 3.31-3.36, 5 Fe 3.32-3.37, 4 Sm 3.40
Pa 0.0000 0.0000 0.2924 (multiplicity 2)  4 Fe 2.61
Fe 0.0000 0.0000 0.7026 (multiplicity 2)  4 Pa 2.61

Compound: PmEr2Zn4
Source: Alexandria via LeMat-Bulk
Functional: PBE-GGA
Structure: relaxed

Values from the calculation:
Crystal system: tetragonal

a = 5.1536 Å, b = 5.1536 Å, c = 12.5719 Å
α = 90.00°, β = 90.00°, γ = 90.00°
With the nearest neighbours (Å) after each atom.
Space group I4/mmm (No. 139)
One atom of each set of equivalent atoms:
Pm 0.0000 0.0000 0.0000 (multiplicity 2)  8 Zn 2.96
Er 0.0000 0.0000 0.2740 (multiplicity 4)  8 Zn 2.93-3.26
Zn 0.0000 0.5000 0.1151 (multiplicity 8)  1 Zn 2.89, 2 Er 2.93, 2 Pm 2.96

| no. | calculated formation energy (eV per atom) |
| --- | --- |
| 1 | -0.01 |
| 2 | -0.14 |